Entry 1:
Compound: TaBO2F
Source: the Alexandria database
Functional: SCAN
Structure: PBEsol geometry

Unit cell a=3.006 b=3.796 c=3.796 alpha=90.00 beta=90.00 gamma=90.00
Each line ends with the local moment (μB).
Fractional positions:
B (0.000, 0.000, 0.000)  0.03
F (0.500, 0.000, 0.000)  0.04
O (0.000, 0.000, 0.500)  -0.01
O (0.000, 0.500, 0.000)  -0.01
Ta (0.500, 0.500, 0.500)  0.94

## Properties
Total magnetization ... 1.2 μB per formula unit
Energy relative to the elements, uncorrected ... -2.6 eV/f.u.
D(E_F) ... 0.381 states/eV/atom

Entry 2:
Compound: AgPt2
Source: the Alexandria database
Functional: SCAN
Structure: PBEsol geometry

Unit cell a=3.960 b=6.210 c=7.884 alpha=108.04 beta=90.00 gamma=90.00
Fractional positions:
Ag (0.000, 0.004, 0.003)
Ag (0.500, 0.333, 0.085)
Ag (0.500, 0.998, 0.249)
Ag (0.500, 0.667, 0.415)
Pt (0.000, 0.660, 0.161)
Pt (0.000, 0.338, 0.343)
Pt (0.000, 0.001, 0.500)
Pt (0.500, 0.333, 0.584)
Pt (0.000, 0.672, 0.671)
Pt (0.500, 0.000, 0.748)
Pt (0.000, 0.332, 0.827)
Pt (0.500, 0.663, 0.913)

## Properties
Energy relative to the elements ... 0.06 eV per atom
Total magnetization ... 0.0 μB per formula unit
D(E_F) ... 0.978 states/eV/atom
Energy relative to the lowest polymorph listed for this composition ... 60.5 meV per atom

Entry 3:
Compound: Li2BeOs
Source: the Alexandria database
Functional: SCAN
Structure: PBEsol geometry

Unit cell a=2.521 b=4.195 c=4.483 alpha=90.00 beta=90.00 gamma=93.61
Fractional positions:
Be (0.500, 0.000, 0.500)
Os (0.000, 0.500, 0.500)
Li (0.282, 0.258, 0.000)
Li (0.718, 0.742, 0.000)

## Properties
Energy relative to the elements ... 0.04 eV per atom
Total magnetization ... 0.0 μB per formula unit
D(E_F) ... 0.287 states/eV/atom

Entry 4:
Compound: OsRh2
Source: the Alexandria database
Functional: SCAN
Structure: PBEsol geometry

Unit cell a=3.776 b=5.360 c=8.072 alpha=90.00 beta=90.00 gamma=90.00
Fractional positions:
Os (0.250, 0.119, 0.077)
Os (0.750, 0.381, 0.577)
Os (0.250, 0.619, 0.423)
Os (0.750, 0.881, 0.923)
Rh (0.250, 0.126, 0.754)
Rh (0.250, 0.125, 0.416)
Rh (0.750, 0.375, 0.916)
Rh (0.750, 0.374, 0.254)
Rh (0.250, 0.626, 0.746)
Rh (0.250, 0.625, 0.084)
Rh (0.750, 0.875, 0.584)
Rh (0.750, 0.874, 0.246)

## Properties
Energy relative to the elements ... 0.04 eV per atom
Total magnetization ... 0.0 μB per formula unit
D(E_F) ... 0.792 states/eV/atom
Energy relative to the lowest polymorph listed for this composition ... 23.9 meV per atom

Entry 5:
Compound: LaGeRu
Source: the Alexandria database
Functional: SCAN
Structure: PBEsol geometry

Unit cell a=4.284 b=4.284 c=6.963 alpha=90.00 beta=90.00 gamma=90.00
Fractional positions:
La (0.000, 0.500, 0.313)
La (0.500, 0.000, 0.687)
Ge (0.000, 0.500, 0.815)
Ge (0.500, 0.000, 0.185)
Ru (0.000, 0.000, 0.000)
Ru (0.500, 0.500, 0.000)

## Properties
Energy relative to the elements ... -0.81 eV per atom
Total magnetization ... 0.0 μB per formula unit
D(E_F) ... 0.768 states/eV/atom

Entry 6:
Compound: LiAgPb
Source: the Alexandria database
Functional: SCAN
Structure: PBEsol geometry

Unit cell a=3.235 b=4.635 c=4.635 alpha=120.00 beta=90.00 gamma=90.00
Fractional positions:
Pb (0.324, 0.667, 0.333)
Ag (0.946, 0.000, 0.000)
Li (0.730, 0.333, 0.667)

## Properties
Energy relative to the elements ... -0.15 eV per atom
Total magnetization ... 0.0 μB per formula unit
D(E_F) ... 0.208 states/eV/atom
Energy relative to the lowest polymorph listed for this composition ... 30.5 meV per atom

Entry 7:
Compound: KGaGeS4
Source: the Alexandria database
Functional: SCAN
Structure: PBEsol geometry

Unit cell a=6.847 b=7.132 c=15.968 alpha=90.00 beta=90.00 gamma=109.81
Fractional positions:
K (0.024, 0.180, 0.607)
K (0.976, 0.820, 0.107)
K (0.498, 0.831, 0.397)
K (0.502, 0.169, 0.897)
Ga (0.854, 0.487, 0.416)
Ga (0.146, 0.513, 0.916)
Ga (0.387, 0.703, 0.725)
Ga (0.613, 0.297, 0.225)
Ge (0.662, 0.530, 0.579)
Ge (0.338, 0.470, 0.079)
Ge (0.110, 0.279, 0.277)
Ge (0.890, 0.721, 0.777)
S (0.140, 0.393, 0.408)
S (0.860, 0.607, 0.908)
S (0.379, 0.615, 0.587)
S (0.621, 0.385, 0.087)
S (0.234, 0.559, 0.201)
S (0.766, 0.441, 0.701)
S (0.257, 0.419, 0.797)
S (0.743, 0.581, 0.297)
S (0.794, 0.084, 0.241)
S (0.206, 0.916, 0.741)
S (0.708, 0.921, 0.759)
S (0.292, 0.079, 0.259)
S (0.092, 0.245, 0.006)
S (0.908, 0.755, 0.506)
S (0.386, 0.739, 0.000)
S (0.614, 0.261, 0.500)

## Properties
Total magnetization ... 0.0 μB per formula unit
Energy relative to the elements, uncorrected ... -6.2 eV/f.u.
D(E_F) ... 0.000 states/eV/atom

Entry 8:
Compound: ScRePt2
Source: the Alexandria database
Functional: SCAN
Structure: PBEsol geometry

Unit cell a=2.836 b=2.836 c=9.213 alpha=81.15 beta=81.15 gamma=60.00
Fractional positions:
Pt (0.999, 0.999, 0.003)
Pt (0.752, 0.752, 0.743)
Re (0.497, 0.497, 0.509)
Sc (0.252, 0.252, 0.245)

## Properties
Energy relative to the elements ... -0.15 eV per atom
Total magnetization ... 0.0 μB per formula unit
D(E_F) ... 1.062 states/eV/atom

no.,total energy (eV per atom)
1,-18.52
2,-57.19
3,-20.22
4,-46.43
5,-33.15
6,-36.67
7,-12.64
8,-56.58